A relaxed Sr2GaBi2 crystal. Source: the Alexandria database, functional PBE.

a b c (Å): 4.4850 4.4850 9.8345
angles (deg): 76.82 76.82 90.00
Closest atoms and distances in Å follow each position.
Fractional coordinates of all 5 atoms:
Bi 0.2500 0.7500 0.5000  4 Bi 3.17
Bi 0.7500 0.2500 0.5000  4 Bi 3.17
Sr 0.6014 0.6014 0.7972  4 Bi 3.56, 4 Ga 3.69, 1 Sr 3.78
Sr 0.3986 0.3986 0.2028  4 Bi 3.56, 4 Ga 3.69, 1 Sr 3.78
Ga 0.0000 0.0000 0.0000  8 Sr 3.69

Output
Energy of formation ... -0.27 eV per atom
Excess energy over the best structure of this formula in the dataset ... 279 meV per atom

***

A relaxed Sr2Ga2Bi crystal. Source: the Alexandria database, functional PBE.

a b c (Å): 5.2553 5.2553 7.0813
angles (deg): 68.22 68.22 90.00
Closest atoms and distances in Å follow each position.
Fractional coordinates of all 5 atoms:
Bi 0.0000 0.0000 0.0000  8 Ga 3.89, 8 Sr 4.00
Ga 0.4034 0.4034 0.1932  1 Ga 2.33
Ga 0.5966 0.5966 0.8068  1 Ga 2.33
Sr 0.7500 0.2500 0.5000  4 Ga 3.21
Sr 0.2500 0.7500 0.5000  4 Ga 3.21

Output
Energy of formation ... -0.14 eV per atom
Excess energy over the best structure of this formula in the dataset ... 354 meV per atom

***

A relaxed SrGa3Bi3 crystal. Source: the Alexandria database, functional PBE.

a b c (Å): 7.9545 7.9545 7.9545
angles (deg): 90.00 90.00 90.00
Closest atoms and distances in Å follow each position.
Fractional coordinates of all 14 atoms:
Bi 0.0000 0.5000 0.7500  4 Ga 2.81
Bi 0.0000 0.5000 0.2500  4 Ga 2.81
Bi 0.5000 0.2500 0.0000  4 Ga 2.81
Bi 0.2500 0.0000 0.5000  4 Ga 2.81
Bi 0.7500 0.0000 0.5000  4 Ga 2.81
Bi 0.5000 0.7500 0.0000  4 Ga 2.81
Ga 0.0000 0.2500 0.5000  4 Bi 2.81
Ga 0.7500 0.5000 0.0000  4 Bi 2.81
Ga 0.2500 0.5000 0.0000  4 Bi 2.81
Ga 0.5000 0.0000 0.7500  4 Bi 2.81
Ga 0.0000 0.7500 0.5000  4 Bi 2.81
Ga 0.5000 0.0000 0.2500  4 Bi 2.81
Sr 0.5000 0.5000 0.5000  12 Bi 4.45, 12 Ga 4.45
Sr 0.0000 0.0000 0.0000  12 Bi 4.45, 12 Ga 4.45

Output
Energy of formation ... 0.03 eV per atom